Entry from the Alexandria database: CoNiCl at its PBEsol-relaxed geometry (SCAN).

Cell: 5.482 5.482 5.482 Å, 90.00 90.00 90.00°
Space group F-43m (No. 216)
Asymmetric unit:
1 Co 0.000 0.000 0.000 [4 per cell]
2 Ni 0.250 0.250 0.750 [4 per cell]
3 Cl 0.250 0.250 0.250 [4 per cell]

Results
Electronic total energy   -158.52 eV per cell